Ba2NbTe4 | PBE | relaxed

* ΔE_f (raw): -1.02 eV per atom
* D(E_F): 3.99 states/eV/f.u.

Unit cell a=5.4310 b=5.4310 c=17.7550 alpha=90.00 beta=90.00 gamma=90.00
With the nearest neighbours (Å) after each atom.
Space group I4/mmm (No. 139)
Asymmetric unit:
1 Ba 0.0000 0.0000 0.1417 [4 per cell]  5 Te 3.43-3.70
2 Nb 0.0000 0.0000 0.5000 [2 per cell]  6 Te 2.72-2.94
3 Te 0.0000 0.0000 0.3347 [4 per cell]  1 Nb 2.94
4 Te 0.0000 0.5000 0.0000 [4 per cell]  2 Nb 2.72